# 1
A plane-wave DFT calculation with GGA-PBE was carried out for a relaxed ReSi2Ru crystal.

Its total DFT energy (no corrections) is -65.389 eV for the cell shown.

The space group is Cmmm (No. 65) and the conventional cell measures 2.948, 4.894 and 7.751 Å, with angles of 90.00, 90.00 and 90.00 degrees. The inequivalent atoms are Re at (0.000, 0.000, 0.000), Si at (0.000, 0.500, 0.254) and Ru at (0.000, 0.000, 0.500).

---

# 2
A plane-wave DFT calculation with GGA-PBE was carried out for a relaxed La2HCl crystal.

As for the energy above the most stable polymorph in this dataset: 0.000 eV per atom.

The space group is R-3m (No. 166, hexagonal axes) and the conventional cell measures 3.7337, 3.7337 and 22.2220 Å, with angles of 90.00, 90.00 and 120.00 degrees. The inequivalent atoms are La at (0.0000, 0.0000, 0.2348), H at (0.0000, 0.0000, 0.5000) and Cl at (0.0000, 0.0000, 0.0000).

---

# 3
A plane-wave DFT calculation with GGA-PBE was carried out for a relaxed LaTb6Pm2 crystal.

As for the energy above the most stable polymorph in this dataset: 0.202 eV per atom.

The space group is R3m (No. 160, hexagonal axes) and the conventional cell measures 7.4502, 7.4502 and 19.2067 Å, with angles of 90.00, 90.00 and 120.00 degrees. The inequivalent atoms are La at (0.0000, 0.0000, 0.0000), Tb at (0.0171, 0.5085, 0.4505), Tb at (0.0426, 0.5213, 0.2538), Pm at (0.0000, 0.0000, 0.2622) and Pm at (0.0000, 0.0000, 0.4381).

---

# 4
A plane-wave DFT calculation with GGA-PBE was carried out for a relaxed PrErSc6 crystal.

Its total DFT energy (no corrections) is -94.344 eV for the cell shown.

The space group is Amm2 (No. 38) and the conventional cell measures 5.333, 6.800 and 11.783 Å, with angles of 90.00, 90.00 and 90.00 degrees. The inequivalent atoms are Pr at (0.000, 0.000, 0.000), Er at (0.500, 0.000, 0.334), Sc at (0.000, 0.000, 0.504), Sc at (0.000, 0.245, 0.749), Sc at (0.500, 0.000, 0.828) and Sc at (0.500, 0.243, 0.586).

---

How do the records compare in V? In the order shown, they have 14.0; 22.4; 34.2; 26.7 Å³/atom.